--- 1 ---
Density functional theory data (PBE) for a relaxed structure of Gd2PuPb.

The value obtained for the density is 10.73 g/cm³.

It has space group R-3m (No. 166, hexagonal axes), with a = 3.5231 Å, b = 3.5231 Å, c = 33.0775 Å, α = 90.00°, β = 90.00° and γ = 120.00°. Symmetry generates all atoms from Gd at (0.0000, 0.0000, 0.2493), Pu at (0.0000, 0.0000, 0.0000) and Pb at (0.0000, 0.0000, 0.5000).

---

--- 2 ---
Density functional theory data (PBE) for a relaxed structure of Gd2PuPb.

The value obtained for the density is 11.22 g/cm³.

It has space group P4/mmm (No. 123), with a = 4.923 Å, b = 4.923 Å, c = 4.677 Å, α = 90.00°, β = 90.00° and γ = 90.00°. Symmetry generates all atoms from Gd at (0.000, 0.500, 0.000), Pu at (0.000, 0.000, 0.500) and Pb at (0.500, 0.500, 0.500).

---

--- 3 ---
Density functional theory data (PBE) for a relaxed structure of Gd2PuPb.

The value obtained for the density is 10.56 g/cm³.

It has space group P4/mmm (No. 123), with a = 3.698 Å, b = 3.698 Å, c = 8.808 Å, α = 90.00°, β = 90.00° and γ = 90.00°. Symmetry generates all atoms from Gd at (0.000, 0.000, 0.237), Pu at (0.500, 0.500, 0.500) and Pb at (0.500, 0.500, 0.000).

---

Quick one: least stable of them? 1